Material: TeIrAu2
Method: DFT, PBE
State: optimized geometry

Cell lengths 5.088, 5.088, 3.187 Å; angles 90.00, 90.00, 113.53 degrees
Element x y z (fractional)
Te 0.000 0.000 0.000
Ir 0.500 0.500 0.000
Au 0.000 0.500 0.500
Au 0.500 0.000 0.500

Output
- Density of states at the Fermi level: 3.6 states/eV/f.u.
- Total moment: 0.00 μB per atom
- Crystal system: orthorhombic
- Electronic total energy: -4.146 eV per atom

Material: CdAs5
Method: DFT, PBE
State: optimized geometry

Cell lengths 5.783, 5.783, 8.287 Å; angles 105.10, 105.10, 30.47 degrees
Element x y z (fractional)
Cd 0.000 0.000 0.000
As 0.171 0.171 0.670
As 0.342 0.342 0.323
As 0.385 0.385 0.637
As 0.560 0.560 0.312
As 0.729 0.729 0.925

Output
- Density of states at the Fermi level: 1.1 states/eV/f.u.
- Total moment: 0.00 μB per atom
- Crystal system: monoclinic
- Formation energy: 167 meV/atom
- ΔE to the lowest computed polymorph: 0.44 eV/f.u.
- Electronic total energy: -3.860 eV per atom

Material: Mn2Tl3InCl9
Method: DFT, PBE
State: optimized geometry

Cell lengths 7.265, 7.265, 9.122 Å; angles 90.00, 90.00, 120.00 degrees
Element x y z (fractional)
Mn 0.333 0.667 0.165
Mn 0.667 0.333 0.835
Tl 0.000 0.000 0.000
Tl 0.333 0.667 0.708
Tl 0.667 0.333 0.292
In 0.000 0.000 0.500
Cl 0.000 0.500 0.000
Cl 0.172 0.344 0.315
Cl 0.172 0.828 0.315
Cl 0.344 0.172 0.685
Cl 0.500 0.000 0.000
Cl 0.500 0.500 0.000
Cl 0.656 0.828 0.315
Cl 0.828 0.172 0.685
Cl 0.828 0.656 0.685

Output
- Density of states at the Fermi level: 3.1 states/eV/f.u.
- Total moment: 0.61 μB per atom
- Crystal system: trigonal
- Electronic total energy: -3.996 eV per atom

Material: BC3
Method: DFT, PBE
State: optimized geometry

Cell lengths 4.515, 2.566, 6.488 Å; angles 90.00, 90.61, 90.00 degrees
Element x y z (fractional)
B 0.000 0.000 0.000
B 0.115 0.500 0.647
B 0.581 0.000 0.878
C 0.130 0.500 0.892
C 0.296 0.000 0.313
C 0.305 0.000 0.546
C 0.459 0.500 0.992
C 0.460 0.500 0.228
C 0.623 0.000 0.634
C 0.782 0.500 0.556
C 0.791 0.500 0.317
C 0.954 0.000 0.240

Output
- Density of states at the Fermi level: 0.4 states/eV/f.u.
- Total moment: 0.00 μB per atom
- Crystal system: monoclinic
- Formation energy: 319 meV/atom
- ΔE to the lowest computed polymorph: 0.31 eV/f.u.
- Electronic total energy: -8.268 eV per atom

Material: Ga2PRh
Method: DFT, PBE
State: optimized geometry

Cell lengths 6.740, 6.740, 6.740 Å; angles 130.66, 130.66, 72.35 degrees
Element x y z (fractional)
Ga 0.119 0.625 0.994
Ga 0.375 0.369 0.494
Ga 0.631 0.125 0.006
Ga 0.875 0.881 0.506
P 0.000 0.000 0.000
P 0.750 0.250 0.500
Rh 0.250 0.750 0.500
Rh 0.500 0.500 0.000

Output
- Density of states at the Fermi level: 0.0 states/eV/f.u.
- Total moment: 0.00 μB per atom
- Crystal system: tetragonal
- Formation energy: 34 meV/atom
- Electronic total energy: -4.670 eV per atom

Material: Cs2BeH4
Method: DFT, PBE
State: optimized geometry

Cell lengths 7.789, 7.789, 7.789 Å; angles 149.79, 149.79, 43.25 degrees
Element x y z (fractional)
Cs 0.139 0.139 0.000
Cs 0.861 0.861 0.000
Be 0.500 0.500 0.000
H 0.000 0.500 0.500
H 0.397 0.397 0.000
H 0.500 0.000 0.500
H 0.603 0.603 0.000

Output
- Density of states at the Fermi level: 0.0 states/eV/f.u.
- Total moment: 0.00 μB per atom
- Crystal system: tetragonal
- ΔE to the lowest computed polymorph: 1.69 eV/f.u.
- Electronic total energy: -2.743 eV per atom